Entry 1:
The following is a PBE calculation of an optimized crystal structure of Zn2CrCBr, from Alexandria.

The density of states at the Fermi level is 1.3792 states/eV per atom. For the uncorrected energy, the calculation gives -2.26 eV/atom.

The space group is P4/mmm (No. 123) and the conventional cell measures 5.2811, 5.2811 and 3.7645 Å, with angles of 90.00, 90.00 and 90.00 degrees. The distinct sites, in fractional coordinates, are Zn at (0.0000, 0.5000, 0.0000), Cr at (0.0000, 0.0000, 0.5000), C at (0.5000, 0.5000, 0.5000) and Br at (0.5000, 0.5000, 0.0000).

---

Entry 2:
The following is a PBE calculation of an optimized crystal structure of SrTl2Br, from Alexandria.

As for the energy above the most stable polymorph in this dataset: 0.0 meV per atom. The density of states at the Fermi level is 0.5339 states/eV per atom.

The space group is P4mm (No. 99) and the conventional cell measures 3.9419, 3.9419 and 8.9814 Å, with angles of 90.00, 90.00 and 90.00 degrees. The distinct sites, in fractional coordinates, are Sr at (0.0000, 0.0000, 0.0000), Tl at (0.0000, 0.0000, 0.4684), Tl at (0.5000, 0.5000, 0.2619) and Br at (0.5000, 0.5000, 0.8289).

---

Entry 3:
The following is a PBE calculation of an optimized crystal structure of NbMo6, from Alexandria.

The density of states at the Fermi level is 0.4578 states/eV per atom. For the uncorrected energy, the calculation gives -10.79 eV/atom.

The space group is R-3m (No. 166, hexagonal axes) and the conventional cell measures 4.5010, 4.5010 and 19.3008 Å, with angles of 90.00, 90.00 and 120.00 degrees. The distinct sites, in fractional coordinates, are Nb at (0.0000, 0.0000, 0.0000), Mo at (0.0000, 0.0000, 0.1440), Mo at (0.0000, 0.0000, 0.2846) and Mo at (0.0000, 0.0000, 0.4287).

---

Entry 4:
The following is a PBE calculation of an optimized crystal structure of Ta2CoNi7Ge2, from Alexandria.

The density of states at the Fermi level is 0.8812 states/eV per atom. For the uncorrected energy, the calculation gives -6.69 eV/atom.

The space group is I4/mmm (No. 139) and the conventional cell measures 3.3054, 3.3054 and 29.1818 Å, with angles of 90.00, 90.00 and 90.00 degrees. The distinct sites, in fractional coordinates, are Ta at (0.0000, 0.0000, 0.1317), Co at (0.0000, 0.0000, 0.5000), Ni at (0.0000, 0.0000, 0.0000), Ni at (0.0000, 0.0000, 0.2258), Ni at (0.0000, 0.5000, 0.0652) and Ge at (0.0000, 0.0000, 0.3089).

---

Entry 5:
The following is a PBE calculation of an optimized crystal structure of V8Mo2W, from Alexandria.

As for the energy above the most stable polymorph in this dataset: 443.4 meV per atom. The density of states at the Fermi level is 1.1319 states/eV per atom.

The space group is C2/m (No. 12) and the conventional cell measures 10.1102, 8.2930 and 4.7848 Å, with angles of 90.00, 115.44 and 90.00 degrees. The distinct sites, in fractional coordinates, are V at (0.0684, 0.0000, 0.2766), V at (0.0923, 0.2448, 0.8515), V at (0.2217, 0.0000, 0.8674), Mo at (0.1459, 0.5000, 0.5811) and W at (0.0000, 0.5000, 0.0000).

---

Entry 6:
The following is a PBE calculation of an optimized crystal structure of Zr3Ti2Ga4, from Alexandria.

The density of states at the Fermi level is 0.8699 states/eV per atom. For the uncorrected energy, the calculation gives -6.35 eV/atom.

The space group is C2/m (No. 12) and the conventional cell measures 11.6428, 3.8837 and 8.4074 Å, with angles of 90.00, 115.03 and 90.00 degrees. The distinct sites, in fractional coordinates, are Zr at (0.0000, 0.0000, 0.0000), Zr at (0.1295, 0.5000, 0.6916), Ti at (0.1871, 0.5000, 0.3591), Ga at (0.0635, 0.0000, 0.4053) and Ga at (0.2046, 0.5000, 0.0613).

---

Entry 7:
The following is a PBE calculation of an optimized crystal structure of RbPtAu2, from Alexandria.

As for the energy above the most stable polymorph in this dataset: 189.5 meV per atom. The density of states at the Fermi level is 0.8619 states/eV per atom.

The space group is I4_1/amd (No. 141, origin choice 2) and the conventional cell measures 5.3579, 5.3579 and 18.1470 Å, with angles of 90.00, 90.00 and 90.00 degrees. The distinct sites, in fractional coordinates, are Rb at (0.0000, 0.2500, 0.3750), Pt at (0.0000, 0.2500, 0.8750) and Au at (0.0000, 0.0000, 0.0000).

---

Entry 8:
The following is a PBE calculation of an optimized crystal structure of La3Sn2I2, from Alexandria.

The density of states at the Fermi level is 0.8068 states/eV per atom. For the uncorrected energy, the calculation gives -4.57 eV/atom.

The space group is P-1 (No. 2) and the conventional cell measures 4.5444, 7.9688 and 8.3860 Å, with angles of 79.18, 89.97 and 73.52 degrees. The distinct sites, in fractional coordinates, are La at (0.0000, 0.0000, 0.0000), La at (0.2438, 0.5111, 0.7647), Sn at (0.3767, 0.2474, 0.1142) and I at (0.1292, 0.7429, 0.3769).